Entry 1:
# Ac2UReN6 | Alexandria | PBE | relaxed
data_Ac2UReN6
_cell_length_a 4.1331
_cell_length_b 4.1331
_cell_length_c 8.5106
_cell_angle_alpha 90.00
_cell_angle_beta 90.00
_cell_angle_gamma 90.00
_symmetry_space_group_name_H-M 'P 4/m m m'
_symmetry_Int_Tables_number 123
_symmetry_space_group_name_Hall '-P 4 2'
loop_
_atom_site_label
_atom_site_type_symbol
_atom_site_fract_x
_atom_site_fract_y
_atom_site_fract_z
Ac1 Ac 0.0000 0.0000 0.2281
U1 U 0.5000 0.5000 0.5000
Re1 Re 0.5000 0.5000 0.0000
N1 N 0.0000 0.5000 0.0000
N2 N 0.0000 0.5000 0.5000
N3 N 0.5000 0.5000 0.2360
# * spin magnetization: 0.000 μB/cell
# * crystal system: tetragonal
# * DFT total energy: -9.1643 eV per atom

Entry 2:
# Tl2Sb2Ir | Alexandria | PBE | relaxed
data_Tl2Sb2Ir
_cell_length_a 3.9567
_cell_length_b 3.9567
_cell_length_c 18.4661
_cell_angle_alpha 90.00
_cell_angle_beta 90.00
_cell_angle_gamma 90.00
_symmetry_space_group_name_H-M 'I 4/m m m'
_symmetry_Int_Tables_number 139
_symmetry_space_group_name_Hall '-I 4 2'
loop_
_atom_site_label
_atom_site_type_symbol
_atom_site_fract_x
_atom_site_fract_y
_atom_site_fract_z
Tl1 Tl 0.0000 0.0000 0.0814
Sb1 Sb 0.0000 0.5000 0.2500
Ir1 Ir 0.0000 0.0000 0.5000
# * spin magnetization: 1.673 μB/cell
# * crystal system: tetragonal
# * distance to the lowest polymorph of the same formula: 17.22 kcal/mol of atoms

Entry 3:
# LaAl2Cu6 | Alexandria | PBE | relaxed
data_LaAl2Cu6
_cell_length_a 3.9304
_cell_length_b 6.4251
_cell_length_c 11.8274
_cell_angle_alpha 90.00
_cell_angle_beta 90.00
_cell_angle_gamma 90.00
_symmetry_space_group_name_H-M 'I m m m'
_symmetry_Int_Tables_number 71
_symmetry_space_group_name_Hall '-I 2 2'
loop_
_atom_site_label
_atom_site_type_symbol
_atom_site_fract_x
_atom_site_fract_y
_atom_site_fract_z
La1 La 0.0000 0.0000 0.0000
Al1 Al 0.0000 0.5000 0.1271
Cu1 Cu 0.0000 0.1756 0.5000
Cu2 Cu 0.0000 0.2868 0.3070
# * formation energy: -0.07 eV per atom
# * spin magnetization: 0.000 μB/cell
# * crystal system: orthorhombic

Entry 4:
# LiReRh | Alexandria | PBE | relaxed
data_LiReRh
_cell_length_a 2.7726
_cell_length_b 4.5776
_cell_length_c 13.7358
_cell_angle_alpha 90.00
_cell_angle_beta 90.00
_cell_angle_gamma 90.00
_symmetry_space_group_name_H-M 'F m m 2'
_symmetry_Int_Tables_number 42
_symmetry_space_group_name_Hall 'F 2 -2'
loop_
_atom_site_label
_atom_site_type_symbol
_atom_site_fract_x
_atom_site_fract_y
_atom_site_fract_z
Li1 Li 0.0000 0.0000 0.0000
Re1 Re 0.0000 0.0000 0.6739
Rh1 Rh 0.0000 0.0000 0.3361
# * formation energy: 0.16 eV per atom
# * spin magnetization: 0.000 μB/cell
# * crystal system: orthorhombic
# * distance to the lowest polymorph of the same formula: 1.80 kcal/mol of atoms